Record 1
# LaCuCl2, optimized geometry, DFT PBE-GGA
# - DOS(E_F): 9.572 states/eV per cell
# - Offset from the most stable computed form: 314 meV/atom
# - E: -4.034 eV per atom
# - E_form (uncorrected): -0.854 eV per atom
data_LaCuCl2
_cell_length_a 3.7540
_cell_length_b 3.7540
_cell_length_c 30.6137
_cell_angle_alpha 90.00
_cell_angle_beta 90.00
_cell_angle_gamma 120.00
_symmetry_space_group_name_H-M 'R -3 m'
_symmetry_Int_Tables_number 166
_symmetry_space_group_name_Hall '-R 3 2"'
loop_
_atom_site_label
_atom_site_type_symbol
_atom_site_fract_x
_atom_site_fract_y
_atom_site_fract_z
La1 La 0.0000 0.0000 0.0000
Cu1 Cu 0.0000 0.0000 0.5000
Cl1 Cl 0.0000 0.0000 0.2721

Record 2
# Ba2PrCdAu6, optimized geometry, DFT PBE-GGA
# - DOS(E_F): 15.825 states/eV per cell
# - E: -3.208 eV per atom
# - Energy of formation from the pure elements: -0.2872 eV per atom
data_Ba2PrCdAu6
_cell_length_a 11.0852
_cell_length_b 11.0852
_cell_length_c 11.0852
_cell_angle_alpha 90.00
_cell_angle_beta 90.00
_cell_angle_gamma 90.00
_symmetry_space_group_name_H-M 'F m -3 m'
_symmetry_Int_Tables_number 225
_symmetry_space_group_name_Hall '-F 4 2 3'
loop_
_atom_site_label
_atom_site_type_symbol
_atom_site_fract_x
_atom_site_fract_y
_atom_site_fract_z
Ba1 Ba 0.2500 0.2500 0.2500
Pr1 Pr 0.0000 0.0000 0.0000
Cd1 Cd 0.0000 0.0000 0.5000
Au1 Au 0.0000 0.0000 0.2581

Record 3
# Tl2ReF8, optimized geometry, DFT PBE-GGA
# - DOS(E_F): 20.432 states/eV per cell
# - E: -4.881 eV per atom
# - E_form (uncorrected): -1.958 eV per atom
data_Tl2ReF8
_cell_length_a 12.8276
_cell_length_b 5.1037
_cell_length_c 7.6921
_cell_angle_alpha 90.00
_cell_angle_beta 96.09
_cell_angle_gamma 90.00
_symmetry_space_group_name_H-M 'C 1 2/m 1'
_symmetry_Int_Tables_number 12
_symmetry_space_group_name_Hall '-C 2y'
loop_
_atom_site_label
_atom_site_type_symbol
_atom_site_fract_x
_atom_site_fract_y
_atom_site_fract_z
Tl1 Tl 0.1391 0.0000 0.0249
Re1 Re 0.0000 0.0000 0.5000
F1 F 0.0537 0.2503 0.3533
F2 F 0.1284 0.0000 0.6489
F3 F 0.1791 0.5000 0.9858

Repeat the third record exactly.
# Tl2ReF8, optimized geometry, DFT PBE-GGA
# - DOS(E_F): 20.432 states/eV per cell
# - E: -4.881 eV per atom
# - E_form (uncorrected): -1.958 eV per atom
data_Tl2ReF8
_cell_length_a 12.8276
_cell_length_b 5.1037
_cell_length_c 7.6921
_cell_angle_alpha 90.00
_cell_angle_beta 96.09
_cell_angle_gamma 90.00
_symmetry_space_group_name_H-M 'C 1 2/m 1'
_symmetry_Int_Tables_number 12
_symmetry_space_group_name_Hall '-C 2y'
loop_
_atom_site_label
_atom_site_type_symbol
_atom_site_fract_x
_atom_site_fract_y
_atom_site_fract_z
Tl1 Tl 0.1391 0.0000 0.0249
Re1 Re 0.0000 0.0000 0.5000
F1 F 0.0537 0.2503 0.3533
F2 F 0.1284 0.0000 0.6489
F3 F 0.1791 0.5000 0.9858